Here is crystalline Th2FeBr2 at its relaxed geometry from the Alexandria database. Energies are from PBE-GGA.

Results
- N(E_F): 4.01 states/eV/cell
- M_tot: 0.0 μB per cell
- Energy relative to the elements, uncorrected: -0.949 eV per atom

abc: 3.998 3.998 33.186
angles: 90.00 90.00 120.00
Positions (direct):
1 Th 0.000 0.000 0.121
2 Th 0.000 0.000 0.879
3 Th 0.333 0.667 0.545
4 Th 0.333 0.667 0.788
5 Th 0.667 0.333 0.212
6 Th 0.667 0.333 0.455
7 Fe 0.000 0.000 0.500
8 Fe 0.333 0.667 0.167
9 Fe 0.667 0.333 0.833
10 Br 0.000 0.000 0.276
11 Br 0.000 0.000 0.724
12 Br 0.333 0.667 0.390
13 Br 0.333 0.667 0.943
14 Br 0.667 0.333 0.057
15 Br 0.667 0.333 0.610